! RbW4 (PBE, relaxed); values from VASP
&SYSTEM
  ibrav = 0, nat = 5, ntyp = 2
/
ATOMIC_SPECIES
Rb 85.47 Rb.upf
W 183.84 W.upf
CELL_PARAMETERS angstrom
4.608 0.000 0.000
0.000 4.608 0.000
0.000 0.000 4.608
ATOMIC_POSITIONS crystal
Rb 0.000 0.000 0.000
W 0.000 0.000 0.500
W 0.000 0.500 0.000
W 0.500 0.000 0.000
W 0.500 0.500 0.500
! * space group: Pm-3m, No. 221
! * N(E_F): 5.489 states/eV/cell


! SrMn4Cd (PBE, relaxed); values from VASP
&SYSTEM
  ibrav = 0, nat = 6, ntyp = 3
/
ATOMIC_SPECIES
Sr 87.62 Sr.upf
Mn 54.94 Mn.upf
Cd 112.41 Cd.upf
CELL_PARAMETERS angstrom
0.000 3.871 3.871
3.871 0.000 3.871
3.871 3.871 0.000
ATOMIC_POSITIONS crystal
Sr 0.000 0.000 0.000
Mn 0.376 0.376 0.376
Mn 0.376 0.376 0.872
Mn 0.376 0.872 0.376
Mn 0.872 0.376 0.376
Cd 0.750 0.750 0.750
! * space group: F-43m, No. 216
! * N(E_F): 5.120 states/eV/cell


Total energy per entry: -32.58 -36.30 eV/cell